Record 1
Mg14NbFe: relaxed, PBE.

Cell: 10.0208 6.2716 6.2716 Å, 58.79 90.00 90.00°
Atoms (fractional coordinates):
Mg  0.0000  0.0000  0.0000
Mg  0.0000  0.0024  0.4990
Mg  0.0000  0.4990  0.0024
Mg  0.0000  0.4991  0.4991
Mg  0.2536  0.6609  0.6609
Mg  0.2653  0.1689  0.6695
Mg  0.2653  0.6695  0.1689
Mg  0.2665  0.1573  0.1573
Mg  0.5000  0.5093  0.9992
Mg  0.5000  0.9992  0.5093
Mg  0.7335  0.1573  0.1573
Mg  0.7347  0.1689  0.6695
Mg  0.7347  0.6695  0.1689
Mg  0.7464  0.6609  0.6609
Nb  0.5000  0.5071  0.5071
Fe  0.5000  0.0016  0.0016

E_form (eV per atom): 0.121
DFT total energy (eV per atom): -2.4327
Symmetry: No. 38
Offset from the most stable computed form (meV/atom): 0
M_tot (μB/cell): 1.9

Record 2
La4Tb3Sm2: relaxed, PBE.

Cell: 6.3183 6.3277 9.6744 Å, 71.24 71.41 60.07°
Atoms (fractional coordinates):
La  0.1656  0.1699  0.9997
La  0.2807  0.6105  0.6653
La  0.7193  0.3895  0.3347
La  0.8344  0.8301  0.0003
Tb  0.3899  0.0568  0.3340
Tb  0.5000  0.5000  0.0000
Tb  0.6101  0.9432  0.6660
Sm  0.0546  0.7207  0.3345
Sm  0.9454  0.2793  0.6655

E_form (eV per atom): 0.023
DFT total energy (eV per atom): -4.7589
Symmetry: No. 2
Offset from the most stable computed form (meV/atom): 0
M_tot (μB/cell): 0.0

Record 3
MgSc2ZnRh4: relaxed, PBE.

Cell: 7.7203 7.7203 7.7203 Å, 33.45 33.45 33.45°
Atoms (fractional coordinates):
Mg  0.0000  0.0000  0.0000
Sc  0.2483  0.2483  0.2483
Sc  0.7517  0.7517  0.7517
Zn  0.5000  0.5000  0.5000
Rh  0.1258  0.1258  0.1258
Rh  0.3761  0.3761  0.3761
Rh  0.6239  0.6239  0.6239
Rh  0.8742  0.8742  0.8742

E_form (eV per atom): -0.792
DFT total energy (eV per atom): -6.4093
Symmetry: No. 166
M_tot (μB/cell): 0.0

Record 4
ZnSe2N: relaxed, PBE.

Cell: 4.4938 4.4938 4.4938 Å, 60.00 60.00 60.00°
Atoms (fractional coordinates):
Zn  0.0000  0.0000  0.0000
Se  0.2500  0.2500  0.2500
Se  0.7500  0.7500  0.7500
N  0.5000  0.5000  0.5000

DFT total energy (eV per atom): -2.8564
Symmetry: No. 225
Formation energy (no corrections) (eV per atom): 1.2857
Offset from the most stable computed form (meV/atom): 730
M_tot (μB/cell): 1.4

Record 5
Tb2Pr3HoEr6: relaxed, PBE.

Cell: 6.1917 6.1917 11.7566 Å, 95.02 95.02 119.98°
Atoms (fractional coordinates):
Tb  0.1666  0.8334  0.0000
Tb  0.8334  0.1666  0.0000
Pr  0.0000  0.0000  0.5000
Pr  0.3333  0.6667  0.5000
Pr  0.6667  0.3333  0.5000
Ho  0.5000  0.5000  0.0000
Er  0.0846  0.4178  0.7542
Er  0.2489  0.2489  0.2460
Er  0.4178  0.0846  0.7542
Er  0.5821  0.9154  0.2458
Er  0.7511  0.7511  0.7540
Er  0.9154  0.5821  0.2458

E_form (eV per atom): 0.021
DFT total energy (eV per atom): -4.6085
Symmetry: No. 12
M_tot (μB/cell): 0.0

Record 6
NaTl2CuSe2: relaxed, PBE.

Cell: 8.5862 8.5862 8.5862 Å, 133.31 66.56 135.38°
Atoms (fractional coordinates):
Na  0.2500  0.2500  0.0000
Na  0.7500  0.7500  0.0000
Tl  0.1680  0.7164  0.8843
Tl  0.3320  0.2164  0.5484
Tl  0.6680  0.7836  0.4516
Tl  0.8320  0.2836  0.1157
Cu  0.2500  0.7500  0.5000
Cu  0.7500  0.2500  0.5000
Se  0.0953  0.2889  0.3842
Se  0.4047  0.7889  0.1935
Se  0.5953  0.2111  0.8065
Se  0.9047  0.7111  0.6158

DFT total energy (eV per atom): -3.2933
Symmetry: No. 72
Formation energy (no corrections) (eV per atom): -0.4405
M_tot (μB/cell): 0.0

Record 7
CeGdIr4: relaxed, PBE.

Cell: 5.3916 5.3916 5.3916 Å, 60.00 60.00 60.00°
Atoms (fractional coordinates):
Ce  0.0000  0.0000  0.0000
Gd  0.7500  0.7500  0.7500
Ir  0.3752  0.3752  0.3752
Ir  0.3752  0.3752  0.8744
Ir  0.3752  0.8744  0.3752
Ir  0.8744  0.3752  0.3752

E_form (eV per atom): -0.773
DFT total energy (eV per atom): -10.0165
Symmetry: No. 216
M_tot (μB/cell): 7.2

Record 8
LaTiI2: relaxed, PBE.

Cell: 10.5662 10.5662 10.5662 Å, 20.14 20.14 20.14°
Atoms (fractional coordinates):
La  0.0000  0.0000  0.0000
Ti  0.5000  0.5000  0.5000
I  0.1064  0.1064  0.1064
I  0.8936  0.8936  0.8936

DFT total energy (eV per atom): -4.2858
Symmetry: No. 166
Formation energy (no corrections) (eV per atom): -0.3051
Offset from the most stable computed form (meV/atom): 0
M_tot (μB/cell): 0.6

Q: M_tot of number 7 (CeGdIr4)?
A: 7.2 μB/cell

Please write out number 1 again, unchanged.
Mg14NbFe: relaxed, PBE.

Cell: 10.0208 6.2716 6.2716 Å, 58.79 90.00 90.00°
Atoms (fractional coordinates):
Mg  0.0000  0.0000  0.0000
Mg  0.0000  0.0024  0.4990
Mg  0.0000  0.4990  0.0024
Mg  0.0000  0.4991  0.4991
Mg  0.2536  0.6609  0.6609
Mg  0.2653  0.1689  0.6695
Mg  0.2653  0.6695  0.1689
Mg  0.2665  0.1573  0.1573
Mg  0.5000  0.5093  0.9992
Mg  0.5000  0.9992  0.5093
Mg  0.7335  0.1573  0.1573
Mg  0.7347  0.1689  0.6695
Mg  0.7347  0.6695  0.1689
Mg  0.7464  0.6609  0.6609
Nb  0.5000  0.5071  0.5071
Fe  0.5000  0.0016  0.0016

E_form (eV per atom): 0.121
DFT total energy (eV per atom): -2.4327
Symmetry: No. 38
Offset from the most stable computed form (meV/atom): 0
M_tot (μB/cell): 1.9